VASP calculation (GGA-PBE) on a relaxed structure of LaDyS3.

Computed properties:
Total magnetization in μB/f.u.: 0.00
Formation energy without anion corrections in kJ per mole of atoms: -207
Polymorph energy (0 for the lowest one) in meV per atom: 0

Cell and atoms, written as extended XYZ:
```
20
Lattice="7.469 0.000 0.000 0.000 4.060 0.000 0.000 0.000 15.462" Properties=species:S:1:pos:R:3 pbc="T T T"
La 1.068 1.015 3.094
La 2.667 3.045 10.825
La 4.802 1.015 4.637
La 6.401 3.045 12.368
Dy 1.715 3.045 7.054
Dy 2.019 1.015 14.785
Dy 5.450 3.045 0.677
Dy 5.753 1.015 8.408
S 0.095 1.015 6.125
S 0.946 3.045 0.935
S 1.128 1.015 12.133
S 2.606 3.045 4.402
S 2.788 1.015 8.666
S 3.640 3.045 13.856
S 3.829 1.015 1.606
S 4.680 3.045 6.796
S 4.863 1.015 11.060
S 6.340 3.045 3.329
S 6.523 1.015 14.527
S 7.374 3.045 9.337
```